Entry 1:
Entry from Alexandria: a geometry-optimized Mg4AgPd2 structure (GGA-PBE).

Properties
Energy: -0.241 Ry/atom
Offset from the most stable computed form: 0.00 kcal/mol of atoms

Cell lengths 4.585, 4.585, 7.651 Å; angles 72.57, 72.57, 60.00 degrees
Sites, in units of the cell vectors:
1 Mg 0.869 0.869 0.393
2 Mg 0.131 0.131 0.607
3 Mg 0.614 0.614 0.159
4 Mg 0.386 0.386 0.841
5 Ag 0.000 0.000 0.000
6 Pd 0.743 0.743 0.771
7 Pd 0.257 0.257 0.229

***

Entry 2:
Entry from Alexandria: a geometry-optimized Mg5Ag2Pd2 structure (GGA-PBE).

Properties
Energy: -0.221 Ry/atom

Cell lengths 4.688, 7.973, 9.868 Å; angles 113.83, 103.74, 90.00 degrees
Sites, in units of the cell vectors:
1 Mg 0.416 0.621 0.833
2 Mg 0.584 0.788 0.167
3 Mg 0.917 0.121 0.833
4 Mg 0.083 0.288 0.167
5 Mg 0.161 0.030 0.321
6 Mg 0.839 0.709 0.679
7 Mg 0.660 0.530 0.321
8 Mg 0.340 0.209 0.679
9 Mg 0.250 0.786 0.500
10 Mg 0.750 0.286 0.500
11 Ag 0.000 0.873 0.000
12 Ag 0.500 0.373 0.000
13 Ag 0.250 0.451 0.500
14 Ag 0.750 0.951 0.500
15 Pd 0.087 0.625 0.172
16 Pd 0.913 0.453 0.828
17 Pd 0.586 0.125 0.172
18 Pd 0.414 0.953 0.828

***

Entry 3:
Entry from Alexandria: a geometry-optimized Mg2Ag5Pd12 structure (GGA-PBE).

Properties
Energy: -0.319 Ry/atom

Cell lengths 4.928, 8.371, 8.371 Å; angles 67.97, 79.57, 79.57 degrees
Sites, in units of the cell vectors:
1 Mg 0.000 0.246 0.754
2 Mg 0.000 0.754 0.246
3 Ag 0.442 0.216 0.216
4 Ag 0.876 0.329 0.329
5 Ag 0.500 0.000 0.000
6 Ag 0.124 0.671 0.671
7 Ag 0.558 0.784 0.784
8 Pd 0.011 0.890 0.890
9 Pd 0.205 0.551 0.051
10 Pd 0.205 0.051 0.551
11 Pd 0.617 0.648 0.153
12 Pd 0.617 0.153 0.648
13 Pd 0.288 0.446 0.446
14 Pd 0.712 0.554 0.554
15 Pd 0.383 0.352 0.847
16 Pd 0.383 0.847 0.352
17 Pd 0.795 0.449 0.949
18 Pd 0.795 0.949 0.449
19 Pd 0.989 0.110 0.110

***

Entry 4:
Entry from Alexandria: a geometry-optimized MgAgPd2 structure (GGA-PBE).

Properties
Energy: -0.299 Ry/atom

Cell lengths 4.531, 4.531, 4.531 Å; angles 60.00, 60.00, 60.00 degrees
Sites, in units of the cell vectors:
1 Mg 0.750 0.750 0.750
2 Ag 0.500 0.500 0.500
3 Pd 0.000 0.000 0.000
4 Pd 0.250 0.250 0.250

***

Entry 5:
Entry from Alexandria: a geometry-optimized Mg6AgPd2 structure (GGA-PBE).

Properties
Energy: -0.208 Ry/atom
Offset from the most stable computed form: 2.07 kcal/mol of atoms

Cell lengths 4.559, 6.436, 7.763 Å; angles 114.49, 107.42, 90.00 degrees
Sites, in units of the cell vectors:
1 Mg 0.170 0.431 0.343
2 Mg 0.830 0.089 0.657
3 Mg 0.830 0.569 0.657
4 Mg 0.500 0.260 0.000
5 Mg 0.170 0.911 0.343
6 Mg 0.500 0.740 0.000
7 Ag 0.000 0.000 0.000
8 Pd 0.666 0.667 0.335
9 Pd 0.334 0.333 0.665

***

Entry 6:
Entry from Alexandria: a geometry-optimized Mg5Ag3Pd12 structure (GGA-PBE).

Properties
Energy: -0.274 Ry/atom

Cell lengths 13.022, 13.022, 13.022 Å; angles 109.47, 109.47, 109.47 degrees
Sites, in units of the cell vectors:
1 Ag 0.750 0.375 0.125
2 Ag 0.875 0.750 0.125
3 Ag 0.375 0.750 0.625
4 Ag 0.250 0.125 0.375
5 Ag 0.875 0.125 0.250
6 Ag 0.375 0.625 0.250
7 Ag 0.625 0.375 0.750
8 Ag 0.125 0.875 0.750
9 Ag 0.750 0.875 0.625
10 Ag 0.625 0.250 0.375
11 Ag 0.125 0.250 0.875
12 Ag 0.250 0.625 0.875
13 Mg 0.125 0.375 0.250
14 Mg 0.000 0.500 0.000
15 Mg 0.000 0.000 0.000
16 Mg 0.375 0.250 0.125
17 Mg 0.500 0.000 0.500
18 Mg 0.500 0.500 0.000
19 Mg 0.125 0.750 0.375
20 Mg 0.750 0.125 0.875
21 Mg 0.750 0.625 0.375
22 Mg 0.375 0.125 0.750
23 Mg 0.625 0.875 0.250
24 Mg 0.500 0.500 0.500
25 Mg 0.500 0.000 0.000
26 Mg 0.000 0.000 0.500
27 Mg 0.250 0.375 0.625
28 Mg 0.250 0.875 0.125
29 Mg 0.000 0.500 0.500
30 Mg 0.875 0.250 0.625
31 Mg 0.625 0.750 0.875
32 Mg 0.875 0.625 0.750
33 Pd 0.725 0.142 0.066
34 Pd 0.340 0.566 0.423
35 Pd 0.934 0.358 0.275
36 Pd 0.566 0.225 0.142
37 Pd 0.583 0.725 0.660
38 Pd 0.934 0.577 0.160
39 Pd 0.340 0.775 0.417
40 Pd 0.077 0.917 0.142
41 Pd 0.577 0.934 0.660
42 Pd 0.725 0.583 0.160
43 Pd 0.775 0.434 0.358
44 Pd 0.840 0.923 0.066
45 Pd 0.142 0.725 0.566
46 Pd 0.358 0.423 0.083
47 Pd 0.083 0.923 0.358
48 Pd 0.417 0.142 0.577
49 Pd 0.083 0.160 0.225
50 Pd 0.434 0.660 0.077
51 Pd 0.840 0.917 0.275
52 Pd 0.142 0.417 0.077
53 Pd 0.358 0.934 0.775
54 Pd 0.577 0.642 0.417
55 Pd 0.923 0.840 0.566
56 Pd 0.775 0.340 0.917
57 Pd 0.423 0.358 0.583
58 Pd 0.077 0.160 0.434
59 Pd 0.225 0.660 0.083
60 Pd 0.160 0.083 0.725
61 Pd 0.642 0.066 0.225
62 Pd 0.858 0.583 0.923
63 Pd 0.566 0.340 0.923
64 Pd 0.583 0.858 0.423
65 Pd 0.917 0.840 0.775
66 Pd 0.917 0.077 0.642
67 Pd 0.858 0.275 0.434
68 Pd 0.160 0.077 0.934
69 Pd 0.642 0.577 0.917
70 Pd 0.423 0.066 0.340
71 Pd 0.275 0.417 0.840
72 Pd 0.225 0.566 0.642
73 Pd 0.923 0.083 0.858
74 Pd 0.660 0.225 0.583
75 Pd 0.434 0.775 0.858
76 Pd 0.066 0.423 0.840
77 Pd 0.417 0.275 0.340
78 Pd 0.066 0.642 0.725
79 Pd 0.660 0.434 0.577
80 Pd 0.275 0.858 0.934

***

Entry 7:
Entry from Alexandria: a geometry-optimized MgAg2Pd8 structure (GGA-PBE).

Properties
Energy: -0.325 Ry/atom
Offset from the most stable computed form: 0.45 kcal/mol of atoms

Cell lengths 4.295, 6.693, 6.693 Å; angles 105.55, 90.02, 90.02 degrees
Sites, in units of the cell vectors:
1 Mg 0.500 0.000 0.000
2 Ag 0.000 0.624 0.376
3 Ag 0.000 0.376 0.624
4 Pd 0.000 0.963 0.701
5 Pd 0.000 0.701 0.963
6 Pd 0.500 0.674 0.674
7 Pd 0.500 0.238 0.762
8 Pd 0.500 0.762 0.238
9 Pd 0.500 0.326 0.326
10 Pd 0.000 0.299 0.037
11 Pd 0.000 0.037 0.299

***

Entry 8:
Entry from Alexandria: a geometry-optimized MgAgPd3 structure (GGA-PBE).

Properties
Energy: -0.321 Ry/atom
Offset from the most stable computed form: 0.00 kcal/mol of atoms

Cell lengths 4.845, 4.842, 7.567 Å; angles 84.82, 108.73, 106.70 degrees
Sites, in units of the cell vectors:
1 Mg 0.366 0.344 0.014
2 Mg 0.660 0.844 0.601
3 Ag 0.863 0.844 0.009
4 Ag 0.162 0.345 0.606
5 Pd 0.565 0.345 0.411
6 Pd 0.764 0.344 0.809
7 Pd 0.063 0.845 0.408
8 Pd 0.963 0.344 0.207
9 Pd 0.461 0.844 0.204
10 Pd 0.262 0.845 0.805

***

Number 1: energy of formation -46.0 kJ per mole of atoms. Number 2: energy of formation -32.7 kJ per mole of atoms. Number 3: energy of formation -13.2 kJ per mole of atoms. Number 4: energy of formation -34.4 kJ per mole of atoms. Number 5: energy of formation -28.7 kJ per mole of atoms. Number 6: energy of formation 20.3 kJ per mole of atoms. Number 7: energy of formation 1.5 kJ per mole of atoms. Number 8: energy of formation -34.8 kJ per mole of atoms.